BaMgHg11 after structural relaxation, computed with PBE.

abc: 6.1892 7.9965 8.1087
angles: 82.71 67.56 70.59
Fractional positions:
Mg (0.5000, 0.5000, 0.0000)
Hg (0.3633, 0.6372, 0.6530)
Hg (0.0000, 0.5000, 0.0000)
Hg (0.4897, 0.7848, 0.2110)
Hg (0.7008, 0.7848, 0.7890)
Hg (0.0163, 0.6372, 0.3470)
Hg (0.0000, 0.0000, 0.5000)
Hg (0.2992, 0.2152, 0.2110)
Hg (0.9837, 0.3628, 0.6530)
Hg (0.5000, 0.0000, 0.5000)
Hg (0.6367, 0.3628, 0.3470)
Hg (0.5103, 0.2152, 0.7890)
Ba (0.0000, 0.0000, 0.0000)

The density of states at the Fermi level is 5.830 states/eV per cell. As for the symmetry: C2/m. The value obtained for the theoretical density is 11240 kg/m³. The energy relative to the elements comes out at -0.153 eV per atom.